The following is a PBE-GGA calculation of a relaxed structure of CaCd2Au8, from Alexandria via LeMat-Bulk.

Results
For the raw total energy, the calculation gives -66.08 eV for the cell shown. The energy relative to the elements comes out at -0.27 eV per atom.

a b c (Å): 15.4938 4.1519 6.8720
angles (deg): 90.00 106.86 90.00
Space group C2/m (No. 12)
Unique sites:
Ca  0.0000  0.0000  0.0000 x2
Cd  0.2225  0.5000  0.6476 x4
Au  0.0441  0.5000  0.7216 x4
Au  0.0934  0.0000  0.4556 x4
Au  0.1410  0.5000  0.1954 x4
Au  0.1804  0.0000  0.9155 x4

---

The following is a PBE-GGA calculation of a relaxed structure of Ca2CdAu, from Alexandria via LeMat-Bulk.

Results
For the raw total energy, the calculation gives -17.76 eV for the cell shown. The energy relative to the elements comes out at -0.17 eV per atom.

a b c (Å): 3.9440 3.9440 16.9302
angles (deg): 90.00 90.00 90.00
Space group I4/mmm (No. 139)
Unique sites:
Ca  0.0000  0.0000  0.1683 x4
Cd  0.0000  0.0000  0.5000 x2
Au  0.0000  0.0000  0.0000 x2

---

> Number 2 is which compound?

Ca2CdAu

---

> Look up the energy relative to the elements of the second one.

-0.17 eV per atom

---

> Which value of energy relative to the elements does entry 1 give?

-0.27 eV per atom